[1]
LiSbRh4: relaxed, PBE.

Lattice parameters (Å, degrees): 5.1911 5.1911 5.1911 60.00 60.00 60.00
With the nearest neighbours (Å) after each atom.
Sites, in units of the cell vectors:
Sb  0.7500  0.7500  0.7500  12 Rh 3.04, 4 Li 3.18
Rh  0.8750  0.3750  0.3750  6 Rh 2.60
Rh  0.3750  0.3750  0.3750  6 Rh 2.60
Rh  0.3750  0.8750  0.3750  6 Rh 2.60
Rh  0.3750  0.3750  0.8750  6 Rh 2.60
Li  0.0000  0.0000  0.0000  12 Rh 3.04, 4 Sb 3.18

Computed properties:
- Total DFT energy (no corrections): -35.36 eV per cell
- Symmetry: F-43m, No. 216

---

[2]
Li4SbRh: relaxed, PBE.

Lattice parameters (Å, degrees): 4.4817 5.2803 8.2053 71.23 89.99 89.95
With the nearest neighbours (Å) after each atom.
Sites, in units of the cell vectors:
Sb  0.7500  0.3730  0.2539  2 Rh 2.64, 8 Li 2.88-2.96
Sb  0.2500  0.6270  0.7461  2 Rh 2.64, 8 Li 2.88-2.96
Li  0.7499  0.2762  0.9174  4 Li 2.48-2.58
Li  0.2500  0.0370  0.4152  5 Li 2.58-2.70, 1 Sb 2.88
Li  0.7500  0.4522  0.5848  5 Li 2.58-2.70, 1 Sb 2.88
Li  0.2499  0.1936  0.0826  4 Li 2.48-2.58
Li  0.2501  0.7238  0.0826  4 Li 2.48-2.58
Li  0.7501  0.8064  0.9174  4 Li 2.48-2.58
Li  0.2500  0.5478  0.4152  5 Li 2.58-2.70, 1 Sb 2.88
Li  0.7500  0.9630  0.5848  5 Li 2.58-2.70, 1 Sb 2.88
Rh  0.7500  0.8791  0.2419  2 Sb 2.64, 10 Li 2.81-2.92
Rh  0.2500  0.1209  0.7581  2 Sb 2.64, 10 Li 2.81-2.92

Computed properties:
- Total DFT energy (no corrections): -43.45 eV per cell
- Energy above the most stable polymorph in this dataset: 0 meV per atom
- Symmetry: Cmcm, No. 63

---

[3]
LiSb6Rh: relaxed, PBE.

Lattice parameters (Å, degrees): 8.1349 8.1349 8.4334 108.57 108.16 110.29
With the nearest neighbours (Å) after each atom.
Sites, in units of the cell vectors:
Rh  0.5000  0.5000  0.5000  6 Sb 2.63-2.68
Rh  0.0000  0.0000  0.5000  6 Sb 2.63-2.68
Sb  0.6426  0.5037  0.8343  1 Rh 2.68, 1 Li 2.82, 2 Sb 2.90-2.97
Sb  0.1854  0.8370  0.3515  1 Rh 2.67, 1 Li 2.78, 1 Sb 2.92
Sb  0.8524  0.6700  0.5224  2 Rh 2.63, 2 Sb 2.90-2.92
Sb  0.3574  0.4963  0.1657  1 Rh 2.68, 1 Li 2.82, 2 Sb 2.90-2.97
Sb  0.6695  0.8083  0.1657  1 Rh 2.68, 1 Li 2.82, 2 Sb 2.90-2.97
Sb  0.4854  0.8339  0.6485  1 Rh 2.67, 1 Li 2.78, 1 Sb 2.92
Sb  0.3305  0.1917  0.8343  1 Rh 2.68, 1 Li 2.82, 2 Sb 2.90-2.97
Sb  0.8479  0.3705  0.2184  2 Li 2.79, 2 Sb 2.90-2.92
Sb  0.1521  0.6295  0.7816  2 Li 2.79, 2 Sb 2.90-2.92
Sb  0.5146  0.1661  0.3515  1 Rh 2.67, 1 Li 2.78, 1 Sb 2.92
Sb  0.1476  0.3300  0.4776  2 Rh 2.63, 2 Sb 2.90-2.92
Sb  0.8146  0.1630  0.6485  1 Rh 2.67, 1 Li 2.78, 1 Sb 2.92
Li  0.0000  0.5000  0.0000  6 Sb 2.78-2.82
Li  0.5000  0.0000  0.0000  6 Sb 2.78-2.82

Computed properties:
- Total DFT energy (no corrections): -70.95 eV per cell
- Symmetry: C2/m, No. 12

---

[4]
Li6SbRh2: relaxed, PBE.

Lattice parameters (Å, degrees): 5.1203 5.1233 5.1233 95.88 84.07 84.07
With the nearest neighbours (Å) after each atom.
Sites, in units of the cell vectors:
Sb  0.0000  0.0000  0.0000  2 Rh 2.68, 12 Li 2.88
Li  0.8263  0.8262  0.5001  5 Li 2.48-2.64
Li  0.5000  0.1740  0.8260  5 Li 2.48-2.65
Li  0.1737  0.4999  0.1738  5 Li 2.48-2.64
Li  0.8263  0.5001  0.8262  5 Li 2.48-2.64
Li  0.1737  0.1738  0.4999  5 Li 2.48-2.64
Li  0.5000  0.8260  0.1740  5 Li 2.48-2.65
Rh  0.3385  0.6616  0.6616  1 Rh 2.55, 1 Sb 2.68, 6 Li 2.79
Rh  0.6615  0.3384  0.3384  1 Rh 2.55, 1 Sb 2.68, 6 Li 2.79

Computed properties:
- Total DFT energy (no corrections): -33.21 eV per cell
- Symmetry: R-3m, No. 166

---

[5]
Li2SbRh: relaxed, PBE.

Lattice parameters (Å, degrees): 5.0532 5.0532 5.0532 135.85 134.30 65.42
With the nearest neighbours (Å) after each atom.
Sites, in units of the cell vectors:
Li  0.0026  0.0026  0.0000  4 Li 2.73, 4 Rh 2.83-2.91, 4 Sb 2.87-2.88
Li  0.4974  0.4974  0.0000  4 Li 2.73, 4 Rh 2.83-2.91, 4 Sb 2.87-2.88
Sb  0.7500  0.2500  0.5000  4 Rh 2.73, 8 Li 2.87-2.88
Rh  0.2500  0.7500  0.5000  4 Sb 2.73, 8 Li 2.83-2.91

Computed properties:
- Total DFT energy (no corrections): -17.04 eV per cell
- Symmetry: Immm, No. 71

---

[6]
Li2Sb2Rh: relaxed, PBE.

Lattice parameters (Å, degrees): 5.1214 5.1214 5.0901 59.80 59.80 90.00
With the nearest neighbours (Å) after each atom.
Sites, in units of the cell vectors:
Li  0.6561  0.6561  0.6878  1 Li 2.23, 1 Rh 2.46
Li  0.3439  0.3439  0.3122  1 Li 2.23, 1 Rh 2.46
Sb  0.7500  0.2500  0.5000  4 Li 2.65
Sb  0.2500  0.7500  0.5000  4 Li 2.65
Rh  0.0000  0.0000  0.0000  2 Li 2.46

Computed properties:
- Total DFT energy (no corrections): -19.34 eV per cell
- Energy above the most stable polymorph in this dataset: 471 meV per atom
- Symmetry: I4/mmm, No. 139

---

Across the entries above, formation energy (no corrections) takes the values 0.01, -0.43, -0.18, -0.32, -0.44, 0.02 eV per atom, respectively.